# Tb4CuOs

An optimized crystal structure of Tb4CuOs (PBE-GGA, Alexandria via LeMat-Bulk).

POSCAR file:
```
Tb4CuOs
1.0
8.2205 0.0000 4.7461
2.7402 7.7504 4.7461
0.0000 0.0000 9.4922
Tb Cu Os
16 4 4
direct
0.9437 0.9437 0.5563
0.8100 0.1900 0.1900
0.1900 0.8100 0.1900
0.5563 0.5563 0.9437
0.5563 0.9437 0.9437
0.3984 0.3984 0.8048
0.5563 0.9437 0.5563
0.1900 0.8100 0.8100
0.9437 0.5563 0.5563
0.3984 0.3984 0.3984
0.8048 0.3984 0.3984
0.8100 0.8100 0.1900
0.8100 0.1900 0.8100
0.1900 0.1900 0.8100
0.9437 0.5563 0.9437
0.3984 0.8048 0.3984
0.1718 0.1718 0.1718
0.1718 0.1718 0.4844
0.1718 0.4844 0.1718
0.4845 0.1718 0.1718
0.6104 0.6104 0.1687
0.6104 0.6104 0.6104
0.1687 0.6104 0.6104
0.6104 0.1687 0.6104
```

Properties
energy relative to the lowest polymorph listed for this composition = 0.000 eV per atom
space-group type = F-43m
uncorrected energy = -5.791 eV/atom
formation energy from the elements = -0.15 eV/atom